Here is a relaxed La4Pa3CuN8 crystal from the Alexandria database. Energies are from PBE.

Cell: 7.1209 7.2424 7.1217 Å, 119.45 120.00 90.00°
Fractional coordinates of all 16 atoms:
Pa: 0.5000 0.5000 0.0000
Pa: 0.5000 0.5000 0.5000
Pa: 0.0000 0.5000 0.5000
N: 0.7347 0.7042 0.4694
N: 0.2901 0.2849 0.0375
N: 0.7474 0.2849 0.0375
N: 0.7099 0.7151 0.9625
N: 0.2527 0.7153 0.5054
N: 0.2653 0.2958 0.5306
N: 0.2526 0.7151 0.9625
N: 0.7473 0.2847 0.4946
La: 0.5000 0.0000 0.5000
La: 0.5000 0.0000 0.0000
La: 0.0000 0.0000 0.0000
La: 0.0000 0.0000 0.5000
Cu: 0.0000 0.5000 0.0000

## Properties
- Uncorrected formation energy: -1257 meV per atom
- SG: R-3m, No. 166
- Size of the total moment: 0.0 Bohr magnetons per cell
- Total DFT energy (no corrections): -8.69 eV per atom